DFT (PBE) results for a relaxed SmBiSb crystal.

Properties
The calculation puts the excess energy over the best structure of this formula in the dataset at 1 kJ/mol of formula units. Its mass density is 7.75 g/cm3. For the magnetization, the calculation gives 0.0020 μB per atom.

Cell: 5.2634 5.2634 5.2634 Å, 60.00 60.00 60.00°
Sites, in units of the cell vectors:
Bi 0.2500 0.2500 0.2500
Sb 0.0000 0.0000 0.0000
Sm 0.7500 0.7500 0.7500

---

DFT (PBE) results for a relaxed Zr5Fe crystal.

Properties
The formation energy is 0.17 eV/atom. Its mass density is 6.90 g/cm3. For the magnetization, the calculation gives 0.5541 μB per atom.

Cell: 5.2957 5.2957 5.0740 Å, 90.00 90.00 60.00°
Sites, in units of the cell vectors:
Fe 0.0000 0.0000 0.0000
Zr 0.3333 0.3333 0.0000
Zr 0.6667 0.6667 0.0000
Zr 0.6870 0.0000 0.5000
Zr 0.0000 0.3130 0.5000
Zr 0.3130 0.6870 0.5000

---

DFT (PBE) results for a relaxed YNbCd crystal.

Properties
The formation energy is 1.07 eV/atom. The calculation puts the excess energy over the best structure of this formula in the dataset at 104 kJ/mol of formula units. Its mass density is 5.78 g/cm3. For the magnetization, the calculation gives 1.0320 μB per atom.

Cell: 4.9252 4.9252 4.9252 Å, 60.00 60.00 60.00°
Sites, in units of the cell vectors:
Cd 0.2500 0.2500 0.2500
Nb 0.7500 0.7500 0.7500
Y 0.0000 0.0000 0.0000

---

DFT (PBE) results for a relaxed YTmMgCo2 crystal.

Properties
Its mass density is 6.96 g/cm3. The total energy is -0.407 Ry/atom. For the magnetization, the calculation gives 0.0010 μB per atom.

Cell: 5.3803 5.3803 5.3803 Å, 134.67 116.94 81.02°
Sites, in units of the cell vectors:
Co 0.6995 0.4986 0.2009
Co 0.2977 0.4986 0.7991
Mg 0.0008 0.0008 0.0000
Tm 0.2924 0.7924 0.5000
Y 0.7096 0.2096 0.5000